The following is a DFT calculation (PBE) of Ca2Nd5Dy4 after structural relaxation.

Calculated values
Formation energy ... 0.178 eV per atom
Space-group type ... Immm (71)
D(E_F) ... 1.375 states/eV/atom
Crystal system ... orthorhombic

Lattice parameters (Å, degrees): 11.2905 11.2905 11.2905 162.12 117.29 65.79
Fractional positions:
Ca  0.1930  0.1930  0.0000
Ca  0.8070  0.8070  0.0000
Nd  0.0000  0.5000  0.5000
Nd  0.1170  0.8222  0.2948
Nd  0.4727  0.1778  0.2948
Nd  0.5273  0.8222  0.7052
Nd  0.8830  0.1778  0.7052
Dy  0.2740  0.0000  0.2740
Dy  0.4133  0.4133  0.0000
Dy  0.5867  0.5867  0.0000
Dy  0.7260  0.0000  0.7260

***

The following is a DFT calculation (PBE) of CrHPd3 after structural relaxation.

Calculated values
Space-group type ... Cm (8)
D(E_F) ... 0.571 states/eV/atom
Final energy ... -5.686 eV per atom
Crystal system ... monoclinic

Lattice parameters (Å, degrees): 5.0341 5.0341 5.4596 97.35 97.35 112.24
Fractional positions:
Cr  0.0000  0.0000  0.0000
Cr  0.6703  0.6703  0.0392
H  0.3601  0.3601  0.2515
H  0.4552  0.4552  0.7229
Pd  0.1390  0.5960  0.2284
Pd  0.1567  0.1567  0.4983
Pd  0.2408  0.7260  0.7604
Pd  0.5960  0.1390  0.2284
Pd  0.6867  0.6867  0.5154
Pd  0.7260  0.2408  0.7604

***

The following is a DFT calculation (PBE) of ZrAlTc after structural relaxation.

Calculated values
Formation energy ... -0.381 eV per atom
Space-group type ... Cmmm (65)
D(E_F) ... 0.526 states/eV/atom
Crystal system ... orthorhombic

Lattice parameters (Å, degrees): 4.4662 13.5827 3.3990 90.00 90.00 90.00
Fractional positions:
Zr  0.0000  0.1664  0.0000
Zr  0.0000  0.8336  0.0000
Zr  0.5000  0.3336  0.0000
Zr  0.5000  0.6664  0.0000
Al  0.0000  0.0000  0.5000
Al  0.0000  0.5000  0.0000
Al  0.5000  0.0000  0.0000
Al  0.5000  0.5000  0.5000
Tc  0.0000  0.3432  0.5000
Tc  0.0000  0.6568  0.5000
Tc  0.5000  0.1568  0.5000
Tc  0.5000  0.8432  0.5000

***

The following is a DFT calculation (PBE) of Ba3LiCa4 after structural relaxation.

Calculated values
Formation energy ... 0.039 eV per atom
Space-group type ... P4/mmm (123)
D(E_F) ... 1.160 states/eV/atom
Crystal system ... tetragonal

Lattice parameters (Å, degrees): 4.2047 4.2047 21.4715 90.00 90.00 90.00
Fractional positions:
Ba  0.0000  0.0000  0.0000
Ba  0.0000  0.0000  0.2745
Ba  0.0000  0.0000  0.7255
Li  0.0000  0.0000  0.5000
Ca  0.5000  0.5000  0.1369
Ca  0.5000  0.5000  0.4128
Ca  0.5000  0.5000  0.5872
Ca  0.5000  0.5000  0.8631

***

The following is a DFT calculation (PBE) of YTi2Cl after structural relaxation.

Calculated values
Space-group type ... Fm-3m (225)
D(E_F) ... 1.588 states/eV/atom
Raw formation energy ... 2.6 eV/f.u.
Crystal system ... cubic

Lattice parameters (Å, degrees): 6.9087 6.9087 6.9087 90.00 90.00 90.00
Fractional positions:
Y  0.0000  0.0000  0.0000
Y  0.0000  0.5000  0.5000
Y  0.5000  0.0000  0.5000
Y  0.5000  0.5000  0.0000
Ti  0.2500  0.2500  0.2500
Ti  0.2500  0.2500  0.7500
Ti  0.2500  0.7500  0.2500
Ti  0.2500  0.7500  0.7500
Ti  0.7500  0.2500  0.2500
Ti  0.7500  0.2500  0.7500
Ti  0.7500  0.7500  0.2500
Ti  0.7500  0.7500  0.7500
Cl  0.0000  0.0000  0.5000
Cl  0.0000  0.5000  0.0000
Cl  0.5000  0.0000  0.0000
Cl  0.5000  0.5000  0.5000

***

The following is a DFT calculation (PBE) of ErCuS2 after structural relaxation.

Calculated values
Space-group type ... R3m (160)
Raw formation energy ... -4.7 eV/f.u.
Crystal system ... trigonal

Lattice parameters (Å, degrees): 3.8552 3.8552 20.1093 90.00 90.00 120.00
Fractional positions:
Er  0.0000  0.0000  0.0000
Er  0.3333  0.6667  0.6667
Er  0.6667  0.3333  0.3333
Cu  0.0000  0.0000  0.2215
Cu  0.3333  0.6667  0.8882
Cu  0.6667  0.3333  0.5548
S  0.0000  0.0000  0.5677
S  0.0000  0.0000  0.7368
S  0.3333  0.6667  0.2344
S  0.3333  0.6667  0.4035
S  0.6667  0.3333  0.0701
S  0.6667  0.3333  0.9010

***

The following is a DFT calculation (PBE) of AcIr4Pb after structural relaxation.

Calculated values
Formation energy ... -0.145 eV per atom
Space-group type ... F-43m (216)
D(E_F) ... 1.669 states/eV/atom
Crystal system ... cubic

Lattice parameters (Å, degrees): 5.5061 5.5061 5.5061 60.00 60.00 60.00
Fractional positions:
Ac  0.0000  0.0000  0.0000
Ir  0.1275  0.6242  0.6242
Ir  0.6242  0.1275  0.6242
Ir  0.6242  0.6242  0.1275
Ir  0.6242  0.6242  0.6242
Pb  0.2500  0.2500  0.2500

***

The following is a DFT calculation (PBE) of Nd3Sm3PuTe8 after structural relaxation.

Calculated values
Space-group type ... R-3m (166)
D(E_F) ... 1.378 states/eV/atom
Raw formation energy ... -20.9 eV/f.u.
Crystal system ... trigonal

Lattice parameters (Å, degrees): 8.9231 8.9231 8.9231 59.90 59.90 59.90
Fractional positions:
Nd  0.0000  0.5000  0.5000
Nd  0.5000  0.0000  0.5000
Nd  0.5000  0.5000  0.0000
Sm  0.0000  0.0000  0.5000
Sm  0.0000  0.5000  0.0000
Sm  0.5000  0.0000  0.0000
Pu  0.5000  0.5000  0.5000
Te  0.2433  0.7539  0.7539
Te  0.2461  0.2461  0.7567
Te  0.2461  0.7567  0.2461
Te  0.2486  0.2486  0.2486
Te  0.7514  0.7514  0.7514
Te  0.7539  0.2433  0.7539
Te  0.7539  0.7539  0.2433
Te  0.7567  0.2461  0.2461

***

The following is a DFT calculation (PBE) of ZnInBiF6 after structural relaxation.

Calculated values
Space-group type ... C2 (5)
D(E_F) ... 0.000 states/eV/atom
Raw formation energy ... -19.8 eV/f.u.
Crystal system ... monoclinic

Lattice parameters (Å, degrees): 5.9258 5.9258 5.6871 90.03 90.03 120.08
Fractional positions:
Zn  0.0000  0.0000  0.0000
In  0.6663  0.3337  0.5000
Bi  0.3331  0.6669  0.0000
F  0.0303  0.3074  0.7972
F  0.0306  0.7232  0.2029
F  0.2768  0.9694  0.7971
F  0.2776  0.3083  0.2027
F  0.6917  0.7224  0.7973
F  0.6926  0.9697  0.2028

***

The following is a DFT calculation (PBE) of Ce2GdTm after structural relaxation.

Calculated values
Formation energy ... 0.235 eV per atom
Space-group type ... R-3m (166)
D(E_F) ... 2.814 states/eV/atom
Crystal system ... trigonal

Lattice parameters (Å, degrees): 3.3451 3.3451 36.7786 90.00 90.00 120.00
Fractional positions:
Ce  0.0000  0.0000  0.0851
Ce  0.0000  0.0000  0.9149
Ce  0.3333  0.6667  0.5816
Ce  0.3333  0.6667  0.7518
Ce  0.6667  0.3333  0.2482
Ce  0.6667  0.3333  0.4184
Gd  0.0000  0.0000  0.5000
Gd  0.3333  0.6667  0.1667
Gd  0.6667  0.3333  0.8333
Tm  0.0000  0.0000  0.0000
Tm  0.3333  0.6667  0.6667
Tm  0.6667  0.3333  0.3333

***

| no. | magnetic moment (μB per formula unit) |
| --- | --- |
| 1 | 0.00 |
| 2 | 0.00 |
| 3 | 0.00 |
| 4 | 0.00 |
| 5 | 2.13 |
| 6 | 0.00 |
| 7 | 0.00 |
| 8 | 6.23 |
| 9 | 0.00 |
| 10 | 5.86 |